Compound: ErTmAgRh
Source: Alexandria via LeMat-Bulk
Functional: PBE
Structure: optimized geometry

Cell lengths 4.9327, 4.9327, 4.9327 Å; angles 60.00, 60.00, 60.00 degrees
Sites, in units of the cell vectors:
Tm 0.5000 0.5000 0.5000
Rh 0.7500 0.7500 0.7500
Ag 0.2500 0.2500 0.2500
Er 0.0000 0.0000 0.0000

Calculated values
* spin magnetization: 0.000 μB per formula unit
* space-group type: No. 216
* ΔE_f: -0.62 eV/atom
* relative energy among the computed polymorphs: 19.3 meV per atom
* Fermi-level density of states: 3.49 states/eV per cell